one.
Crystalline RbReSb2 at its relaxed geometry. Source: Alexandria via LeMat-Bulk, functional GGA-PBE.

Its symmetry is Fm-3m, No. 225.

The structure in POSCAR format:
```
RbReSb2
1.0
0.0000 3.5850 3.5850
3.5850 0.0000 3.5850
3.5850 3.5850 0.0000
Sb Rb Re
2 1 1
Cartesian
1.7925 1.7925 1.7925
5.3774 5.3774 5.3774
0.0000 0.0000 0.0000
3.5850 3.5850 3.5850
```

=====

two.
Crystalline RbReSb2 at its relaxed geometry. Source: Alexandria via LeMat-Bulk, functional GGA-PBE.

Its symmetry is I4_1/amd, No. 141.

The structure in POSCAR format:
```
RbReSb2
1.0
7.0298 0.0000 0.0000
0.0000 7.0298 0.0000
3.5149 3.5149 7.0896
Rb Sb Re
2 4 2
Cartesian
3.5149 3.5149 0.0000
3.5149 7.0298 3.5448
5.2723 3.5140 5.3172
7.0306 1.7574 1.7724
8.7872 3.5157 5.3172
7.0289 5.2723 1.7724
0.0000 0.0000 0.0000
7.0298 3.5149 3.5448
```

=====

Least stable = one

=====

one.
Crystalline RbSc3Re at its relaxed geometry. Source: Alexandria via LeMat-Bulk, functional GGA-PBE.

Its symmetry is Pm-3m, No. 221.

The structure in POSCAR format:
```
RbSc3Re
1.0
-3.0454 4.0930 -1.3544
-4.2718 -2.6409 1.6245
0.5821 2.0334 4.8361
Sc Rb Re
3 1 1
Cartesian
0.2910 1.0167 2.4181
-2.1359 -1.3205 0.8123
-1.5227 2.0465 -0.6772
-3.3676 1.7427 2.5532
0.0000 0.0000 0.0000
```

=====

two.
Crystalline RbSc3Re at its relaxed geometry. Source: Alexandria via LeMat-Bulk, functional GGA-PBE.

Its symmetry is Pm-3m, No. 221.

The structure in POSCAR format:
```
RbSc3Re
1.0
-3.7265 -2.5291 1.7631
1.9811 0.1549 4.4094
-2.3622 4.1197 0.9166
Re Sc Rb
1 3 1
Cartesian
-2.0538 0.8728 3.5446
-1.1811 2.0598 0.4583
-1.8633 -1.2645 0.8816
0.9905 0.0775 2.2047
0.0000 0.0000 0.0000
```

=====

Least stable = two

=====

one.
Crystalline RbReSe3 at its relaxed geometry. Source: Alexandria via LeMat-Bulk, functional GGA-PBE.

Its symmetry is Pm-3m, No. 221.

The structure in POSCAR format:
```
RbReSe3
1.0
5.4092 0.0000 0.0000
0.0000 5.4092 0.0000
0.0000 0.0000 5.4092
Re Rb Se
1 1 3
Cartesian
2.7046 2.7046 2.7046
0.0000 0.0000 0.0000
0.0000 2.7046 0.0000
0.0000 0.0000 2.7046
2.7046 0.0000 0.0000
```

=====

two.
Crystalline RbReSe3 at its relaxed geometry. Source: Alexandria via LeMat-Bulk, functional GGA-PBE.

Its symmetry is P2_1/c, No. 14.

The structure in POSCAR format:
```
RbReSe3
1.0
6.5055 0.0000 0.0000
0.0000 9.3801 -0.0378
0.0000 -1.5088 9.0743
Se Rb Re
12 4 4
Cartesian
3.7784 0.1268 1.4724
2.7002 0.6577 4.8970
4.2472 1.6075 8.5046
0.5256 8.4988 3.0270
3.8054 7.2135 4.1395
0.9945 5.5094 5.0690
2.2583 6.2638 0.5319
2.7271 7.7444 7.5641
0.5526 1.4121 0.3598
5.5111 2.3619 3.9675
5.9529 6.4591 8.6767
5.9799 -0.6276 6.0095
4.1621 4.7007 6.4296
0.9094 2.4161 7.1440
5.5962 5.4551 1.8925
2.3434 3.1705 2.6069
1.6852 7.7953 5.3545
1.5676 8.5497 0.8174
4.8203 0.0759 3.6820
4.9380 -0.6784 8.2191
```

=====

three.
Crystalline RbReSe3 at its relaxed geometry. Source: Alexandria via LeMat-Bulk, functional GGA-PBE.

Its symmetry is Pm-3m, No. 221.

The structure in POSCAR format:
```
RbReSe3
1.0
5.0345 0.0000 0.0000
0.0000 5.0345 0.0000
0.0000 0.0000 5.0345
Rb Se Re
1 3 1
Cartesian
2.5172 2.5172 2.5172
0.0000 2.5172 0.0000
2.5172 0.0000 0.0000
0.0000 0.0000 2.5172
0.0000 0.0000 0.0000
```

=====

Least stable = one

=====

one.
Crystalline RbReSi2 at its relaxed geometry. Source: Alexandria via LeMat-Bulk, functional GGA-PBE.

Its symmetry is Fm-3m, No. 225.

The structure in POSCAR format:
```
RbReSi2
1.0
0.0000 3.3412 3.3412
3.3412 0.0000 3.3412
3.3412 3.3412 0.0000
Si Re Rb
2 1 1
Cartesian
1.6706 1.6706 1.6706
5.0117 5.0117 5.0117
3.3412 3.3412 3.3412
0.0000 0.0000 0.0000
```

=====

two.
Crystalline RbReSi2 at its relaxed geometry. Source: Alexandria via LeMat-Bulk, functional GGA-PBE.

Its symmetry is I4_1/amd, No. 141.

The structure in POSCAR format:
```
RbReSi2
1.0
6.1451 0.0000 0.0000
0.0000 6.1451 0.0000
3.0726 3.0726 6.8200
Rb Re Si
2 2 4
Cartesian
3.0726 6.1451 3.4100
3.0726 3.0726 0.0000
6.1451 3.0726 3.4100
0.0000 0.0000 0.0000
6.1432 1.5363 1.7050
7.6814 3.0707 5.1150
6.1470 4.6088 1.7050
4.6088 3.0744 5.1150
```

=====

Least stable = one

=====

one.
Crystalline RbRe3Sn at its relaxed geometry. Source: Alexandria via LeMat-Bulk, functional GGA-PBE.

Its symmetry is Pm-3m, No. 221.

The structure in POSCAR format:
```
RbRe3Sn
1.0
-2.9598 -3.6652 -0.8203
3.5157 -2.3362 -2.2471
1.3216 -1.9939 4.1406
Rb Sn Re
1 1 3
Cartesian
0.0000 0.0000 0.0000
0.9387 -3.9976 0.5366
0.6608 -0.9970 2.0703
-1.4799 -1.8326 -0.4102
1.7578 -1.1681 -1.1235
```

=====

two.
Crystalline RbRe3Sn at its relaxed geometry. Source: Alexandria via LeMat-Bulk, functional GGA-PBE.

Its symmetry is Pm-3m, No. 221.

The structure in POSCAR format:
```
RbRe3Sn
1.0
5.0841 0.0000 0.0000
0.0000 5.0841 0.0000
0.0000 0.0000 5.0841
Sn Re Rb
1 3 1
Cartesian
0.0000 0.0000 0.0000
0.0000 0.0000 2.5420
0.0000 2.5420 0.0000
2.5420 0.0000 0.0000
2.5420 2.5420 2.5420
```

=====

Least stable = one

=====

one.
Crystalline Rb2ReSn2 at its relaxed geometry. Source: Alexandria via LeMat-Bulk, functional GGA-PBE.

Its symmetry is P4/mbm, No. 127.

The structure in POSCAR format:
```
Rb2ReSn2
1.0
-3.8083 -7.3385 -7.2187
9.5630 0.3261 -5.3767
1.0599 -2.2689 1.7475
Sn Rb Re
4 4 2
Cartesian
0.4887 -7.0738 -6.8130
6.3259 -2.2075 -4.0349
5.8318 -5.8287 -8.4370
0.9828 -3.4527 -2.4109
2.6155 -6.2341 -9.6808
-1.1973 -4.5306 -5.1564
6.9520 -2.4819 -7.4390
3.1392 -0.7784 -2.9146
0.0000 0.0000 0.0000
2.8773 -3.5062 -6.2977
```

=====

two.
Crystalline Rb2ReSn2 at its relaxed geometry. Source: Alexandria via LeMat-Bulk, functional GGA-PBE.

Its symmetry is I4/mmm, No. 139.

The structure in POSCAR format:
```
Rb2ReSn2
1.0
-3.2822 -0.4799 2.5928
-1.9635 -2.3184 -2.9147
2.0638 -10.6696 4.0559
Re Rb Sn
1 2 2
Cartesian
0.0000 0.0000 0.0000
-1.6939 -3.2368 0.6749
-1.4880 -10.2312 3.0591
-1.9206 -6.2743 3.2439
-1.2613 -7.1936 0.4902
```

=====

Least stable = one

=====

one.
Crystalline RbSr2Re at its relaxed geometry. Source: Alexandria via LeMat-Bulk, functional GGA-PBE.

Its symmetry is I4_1/amd, No. 141.

The structure in POSCAR format:
```
RbSr2Re
1.0
8.6785 0.0000 0.0000
0.0000 8.6785 0.0000
4.3393 4.3393 6.1572
Sr Rb Re
4 2 2
Cartesian
10.8481 4.3377 4.6179
6.5089 4.3408 4.6179
8.6800 6.5089 1.5393
8.6770 2.1696 1.5393
4.3393 8.6785 3.0786
4.3393 4.3393 0.0000
8.6785 4.3393 3.0786
0.0000 0.0000 0.0000
```

=====

two.
Crystalline RbSr2Re at its relaxed geometry. Source: Alexandria via LeMat-Bulk, functional GGA-PBE.

Its symmetry is Fm-3m, No. 225.

The structure in POSCAR format:
```
RbSr2Re
1.0
-4.3795 -3.6603 -1.0510
-3.8512 -1.1918 4.1749
-5.4295 2.0104 -0.4008
Re Sr Rb
1 2 1
Cartesian
-6.8301 -1.4209 1.3616
-10.2452 -2.1313 2.0424
-3.4151 -0.7104 0.6808
0.0000 0.0000 0.0000
```

=====

Least stable = one

=====

one.
Crystalline Rb2SrRe at its relaxed geometry. Source: Alexandria via LeMat-Bulk, functional GGA-PBE.

Its symmetry is I-42d, No. 122.

The structure in POSCAR format:
```
Rb2SrRe
1.0
-2.6773 -3.0676 2.7985
3.7224 -0.2976 3.2349
-4.6281 9.1267 9.9379
Sr Re Rb
2 2 4
Cartesian
-0.1916 3.5733 8.0948
0.5226 -1.6826 3.0167
0.0000 0.0000 0.0000
-3.3914 2.1883 7.8766
-2.4142 0.2709 4.6893
0.8840 1.7686 4.8047
-3.1476 5.5886 9.6565
-2.4882 3.8950 12.7921
```

=====

two.
Crystalline Rb2SrRe at its relaxed geometry. Source: Alexandria via LeMat-Bulk, functional GGA-PBE.

Its symmetry is Fm-3m, No. 225.

The structure in POSCAR format:
```
Rb2SrRe
1.0
0.0000 4.3594 4.3594
4.3594 0.0000 4.3594
4.3594 4.3594 0.0000
Rb Sr Re
2 1 1
Cartesian
2.1797 2.1797 2.1797
6.5391 6.5391 6.5391
0.0000 0.0000 0.0000
4.3594 4.3594 4.3594
```

=====

Least stable = two

=====

one.
Crystalline Rb3SrRe at its relaxed geometry. Source: Alexandria via LeMat-Bulk, functional GGA-PBE.

Its symmetry is Pm-3m, No. 221.

The structure in POSCAR format:
```
Rb3SrRe
1.0
8.1761 0.0000 0.0000
0.0000 8.1761 0.0000
0.0000 0.0000 8.1761
Rb Sr Re
3 1 1
Cartesian
0.0000 0.0000 4.0880
4.0880 0.0000 0.0000
0.0000 4.0880 0.0000
0.0000 0.0000 0.0000
4.0880 4.0880 4.0880
```

=====

two.
Crystalline Rb3SrRe at its relaxed geometry. Source: Alexandria via LeMat-Bulk, functional GGA-PBE.

Its symmetry is Pm-3m, No. 221.

The structure in POSCAR format:
```
Rb3SrRe
1.0
6.8841 0.0000 0.0000
0.0000 6.8841 0.0000
0.0000 0.0000 6.8841
Rb Sr Re
3 1 1
Cartesian
3.4420 0.0000 0.0000
0.0000 0.0000 3.4420
0.0000 3.4420 0.0000
3.4420 3.4420 3.4420
0.0000 0.0000 0.0000
```

=====

Least stable = one

=====

one.
Crystalline RbSrRe3 at its relaxed geometry. Source: Alexandria via LeMat-Bulk, functional GGA-PBE.

Its symmetry is Pm-3m, No. 221.

The structure in POSCAR format:
```
RbSrRe3
1.0
-4.9153 -1.3195 -0.7570
1.4283 -3.1217 -3.8327
0.5236 -3.8715 3.3484
Rb Re Sr
1 3 1
Cartesian
-1.4817 -4.1564 -0.6207
0.7142 -1.5608 -1.9164
0.2618 -1.9358 1.6742
-2.4577 -0.6598 -0.3785
0.0000 0.0000 0.0000
```

=====

two.
Crystalline RbSrRe3 at its relaxed geometry. Source: Alexandria via LeMat-Bulk, functional GGA-PBE.

Its symmetry is Pm-3m, No. 221.

The structure in POSCAR format:
```
RbSrRe3
1.0
-0.3298 -2.5342 -4.1903
4.8660 0.3021 -0.5658
0.5501 -4.1924 2.4922
Rb Re Sr
1 3 1
Cartesian
0.0000 0.0000 0.0000
0.2750 -2.0962 1.2461
-0.1649 -1.2671 -2.0951
2.4330 0.1511 -0.2829
2.5431 -3.2122 -1.1319
```

=====

Least stable = one

=====

one.
Crystalline RbTaRe2 at its relaxed geometry. Source: Alexandria via LeMat-Bulk, functional GGA-PBE.

Its symmetry is Fm-3m, No. 225.

The structure in POSCAR format:
```
RbTaRe2
1.0
-1.2985 -3.9860 -2.1752
-4.1486 -0.2207 -2.2462
-0.1242 -0.1830 -4.7177
Re Ta Rb
2 1 1
Cartesian
-1.3928 -1.0974 -2.2848
-4.1785 -3.2922 -6.8544
-2.7857 -2.1948 -4.5696
0.0000 0.0000 0.0000
```

=====

two.
Crystalline RbTaRe2 at its relaxed geometry. Source: Alexandria via LeMat-Bulk, functional GGA-PBE.

Its symmetry is I-42d, No. 122.

The structure in POSCAR format:
```
RbTaRe2
1.0
-3.8600 1.7585 2.6941
-1.1877 -4.6896 1.3592
2.7812 -0.7428 9.1558
Rb Ta Re
2 2 4
Cartesian
-0.4651 -3.4490 6.2708
-2.5238 -1.4656 2.0267
-1.8013 -0.2250 6.9383
0.0000 0.0000 0.0000
-1.3920 0.5851 9.3391
-2.6744 0.6956 4.7072
0.4419 -0.6737 8.1020
-3.5807 -1.5069 5.6049
```

=====

Least stable = two

=====

one.
Crystalline Rb2ReTc at its relaxed geometry. Source: Alexandria via LeMat-Bulk, functional GGA-PBE.

Its symmetry is Fm-3m, No. 225.

The structure in POSCAR format:
```
Rb2ReTc
1.0
0.0000 4.1350 4.1350
4.1350 0.0000 4.1350
4.1350 4.1350 0.0000
Rb Tc Re
2 1 1
Cartesian
6.2025 6.2025 6.2025
2.0675 2.0675 2.0675
0.0000 0.0000 0.0000
4.1350 4.1350 4.1350
```

=====

two.
Crystalline Rb2ReTc at its relaxed geometry. Source: Alexandria via LeMat-Bulk, functional GGA-PBE.

Its symmetry is I-42d, No. 122.

The structure in POSCAR format:
```
Rb2ReTc
1.0
13.2488 0.0000 0.0000
0.0000 13.2488 0.0000
6.6244 6.6244 2.2900
Tc Rb Re
2 4 2
Cartesian
6.6244 13.2488 1.1450
6.6244 6.6244 0.0000
5.7020 9.9366 0.5725
16.5610 14.1712 1.7175
7.5468 3.3122 0.5725
9.9366 12.3264 1.7175
0.0000 0.0000 0.0000
13.2488 6.6244 1.1450
```

=====

Least stable = one

=====

one.
Crystalline Rb2Re2Tc at its relaxed geometry. Source: Alexandria via LeMat-Bulk, functional GGA-PBE.

Its symmetry is I4/mmm, No. 139.

The structure in POSCAR format:
```
Rb2Re2Tc
1.0
3.5006 0.0000 0.0000
0.0000 3.5006 0.0000
1.7503 1.7503 12.0850
Rb Re Tc
2 2 1
Cartesian
1.7503 1.7503 2.7646
3.5006 3.5006 9.3204
3.5006 1.7503 6.0425
1.7503 3.5006 6.0425
0.0000 0.0000 0.0000
```

=====

two.
Crystalline Rb2Re2Tc at its relaxed geometry. Source: Alexandria via LeMat-Bulk, functional GGA-PBE.

Its symmetry is P4/mbm, No. 127.

The structure in POSCAR format:
```
Rb2Re2Tc
1.0
9.9244 0.0000 0.0000
0.0000 9.9244 0.0000
0.0000 0.0000 2.6200
Rb Re Tc
4 4 2
Cartesian
6.0694 1.1072 0.0000
3.8550 8.8172 0.0000
8.8172 6.0694 0.0000
1.1072 3.8550 0.0000
1.8961 6.8583 1.3100
8.0284 3.0662 1.3100
3.0662 1.8961 1.3100
6.8583 8.0284 1.3100
0.0000 0.0000 0.0000
4.9622 4.9622 0.0000
```

=====

Least stable = two